No. 1
An optimized crystal structure of K3GeTe3, computed with PBE-GGA.

excess energy over the best structure of this formula in the dataset	4.25	kJ/mol of atoms
magnetization	0.000	μB per cell
raw formation energy	-0.77	eV per atom

a = 13.9564 Å, b = 5.1423 Å, c = 15.3540 Å
α = 90.00°, β = 90.00°, γ = 90.00°
Positions (direct):
K (0.0652, 0.2500, 0.1036)
K (0.1435, 0.7500, 0.4804)
K (0.2365, 0.7500, 0.7785)
K (0.2635, 0.2500, 0.2785)
K (0.3565, 0.2500, 0.9804)
K (0.4348, 0.7500, 0.6036)
K (0.5652, 0.2500, 0.3964)
K (0.6435, 0.7500, 0.0196)
K (0.7365, 0.7500, 0.7215)
K (0.7635, 0.2500, 0.2215)
K (0.8565, 0.2500, 0.5196)
K (0.9348, 0.7500, 0.8964)
Ge (0.0675, 0.2500, 0.7003)
Ge (0.4325, 0.7500, 0.2003)
Ge (0.5675, 0.2500, 0.7997)
Ge (0.9325, 0.7500, 0.2997)
Te (0.0129, 0.2500, 0.3343)
Te (0.1076, 0.2500, 0.8720)
Te (0.2356, 0.2500, 0.6161)
Te (0.2644, 0.7500, 0.1161)
Te (0.3924, 0.7500, 0.3720)
Te (0.4871, 0.7500, 0.8343)
Te (0.5129, 0.2500, 0.1657)
Te (0.6076, 0.2500, 0.6280)
Te (0.7356, 0.2500, 0.8839)
Te (0.7644, 0.7500, 0.3839)
Te (0.8924, 0.7500, 0.1280)
Te (0.9871, 0.7500, 0.6657)

***

No. 2
An optimized crystal structure of PaMn4Ga, computed with PBE-GGA.

magnetization	7.698	μB per cell
energy of formation	36	meV/atom

a = 5.0049 Å, b = 5.0049 Å, c = 5.0049 Å
α = 60.00°, β = 60.00°, γ = 60.00°
Positions (direct):
Pa (0.0000, 0.0000, 0.0000)
Mn (0.3757, 0.3757, 0.3757)
Mn (0.3757, 0.3757, 0.8729)
Mn (0.3757, 0.8729, 0.3757)
Mn (0.8729, 0.3757, 0.3757)
Ga (0.7500, 0.7500, 0.7500)

***

No. 3
An optimized crystal structure of Li3In4Ag4, computed with PBE-GGA.

excess energy over the best structure of this formula in the dataset	0.00	kJ/mol of atoms
magnetization	0.000	μB per cell
energy of formation	-173	meV/atom

a = 3.3070 Å, b = 5.3094 Å, c = 12.6318 Å
α = 97.27°, β = 90.04°, γ = 107.88°
Positions (direct):
Li (0.0000, 0.0000, 0.0000)
Li (0.1724, 0.3463, 0.2544)
Li (0.8276, 0.6537, 0.7456)
In (0.3763, 0.7510, 0.5618)
In (0.4397, 0.8786, 0.1704)
In (0.5603, 0.1214, 0.8296)
In (0.6237, 0.2490, 0.4382)
Ag (0.1172, 0.2320, 0.6463)
Ag (0.2941, 0.5880, 0.9156)
Ag (0.7059, 0.4120, 0.0844)
Ag (0.8828, 0.7680, 0.3537)

***

No. 4
An optimized crystal structure of LiCeCuIr, computed with PBE-GGA.

magnetization	0.819	μB per cell
energy of formation	-215	meV/atom

a = 6.6025 Å, b = 6.6025 Å, c = 6.6025 Å
α = 90.00°, β = 90.00°, γ = 90.00°
Positions (direct):
Li (0.0000, 0.0000, 0.0000)
Li (0.0000, 0.5000, 0.5000)
Li (0.5000, 0.0000, 0.5000)
Li (0.5000, 0.5000, 0.0000)
Ce (0.0000, 0.0000, 0.5000)
Ce (0.0000, 0.5000, 0.0000)
Ce (0.5000, 0.0000, 0.0000)
Ce (0.5000, 0.5000, 0.5000)
Cu (0.2500, 0.2500, 0.7500)
Cu (0.2500, 0.7500, 0.2500)
Cu (0.7500, 0.2500, 0.2500)
Cu (0.7500, 0.7500, 0.7500)
Ir (0.2500, 0.2500, 0.2500)
Ir (0.2500, 0.7500, 0.7500)
Ir (0.7500, 0.2500, 0.7500)
Ir (0.7500, 0.7500, 0.2500)

***

No. 5
An optimized crystal structure of RbCaC2, computed with PBE-GGA.

excess energy over the best structure of this formula in the dataset	16.76	kJ/mol of atoms
magnetization	0.000	μB per cell
energy of formation	2066	meV/atom

a = 6.7178 Å, b = 6.7178 Å, c = 6.7178 Å
α = 90.00°, β = 90.00°, γ = 90.00°
Positions (direct):
Rb (0.0000, 0.0000, 0.0000)
Rb (0.0000, 0.5000, 0.5000)
Rb (0.5000, 0.0000, 0.5000)
Rb (0.5000, 0.5000, 0.0000)
Ca (0.0000, 0.0000, 0.5000)
Ca (0.0000, 0.5000, 0.0000)
Ca (0.5000, 0.0000, 0.0000)
Ca (0.5000, 0.5000, 0.5000)
C (0.2500, 0.2500, 0.2500)
C (0.2500, 0.2500, 0.7500)
C (0.2500, 0.7500, 0.2500)
C (0.2500, 0.7500, 0.7500)
C (0.7500, 0.2500, 0.2500)
C (0.7500, 0.2500, 0.7500)
C (0.7500, 0.7500, 0.2500)
C (0.7500, 0.7500, 0.7500)

***

No. 6
An optimized crystal structure of Fe2NiCl, computed with PBE-GGA.

excess energy over the best structure of this formula in the dataset	9.54	kJ/mol of atoms
magnetization	6.664	μB per cell
raw formation energy	0.23	eV per atom

a = 2.9847 Å, b = 2.9847 Å, c = 6.3354 Å
α = 90.00°, β = 90.00°, γ = 90.00°
Positions (direct):
Fe (0.0000, 0.0000, 0.0000)
Fe (0.5000, 0.5000, 0.2256)
Ni (0.0000, 0.0000, 0.4130)
Cl (0.5000, 0.5000, 0.7417)

***

No. 7
An optimized crystal structure of ThMnNbGe2, computed with PBE-GGA.

magnetization	4.480	μB per cell
energy of formation	-468	meV/atom

a = 4.0939 Å, b = 4.0939 Å, c = 11.6709 Å
α = 90.00°, β = 90.00°, γ = 90.00°
Positions (direct):
Th (0.0000, 0.0000, 0.0000)
Th (0.5000, 0.5000, 0.5000)
Mn (0.0000, 0.5000, 0.2500)
Mn (0.5000, 0.0000, 0.7500)
Nb (0.0000, 0.5000, 0.7500)
Nb (0.5000, 0.0000, 0.2500)
Ge (0.0000, 0.0000, 0.3881)
Ge (0.0000, 0.0000, 0.6119)
Ge (0.5000, 0.5000, 0.1119)
Ge (0.5000, 0.5000, 0.8881)

***

No. 8
An optimized crystal structure of La3Hg2Ru2, computed with PBE-GGA.

magnetization	0.000	μB per cell
energy of formation	-352	meV/atom

a = 4.0930 Å, b = 6.1753 Å, c = 8.5323 Å
α = 69.98°, β = 89.94°, γ = 70.69°
Positions (direct):
La (0.0000, 0.0000, 0.0000)
La (0.1853, 0.6265, 0.6729)
La (0.8147, 0.3735, 0.3271)
Hg (0.4624, 0.0746, 0.6696)
Hg (0.5376, 0.9254, 0.3304)
Ru (0.2964, 0.4071, 0.0747)
Ru (0.7036, 0.5929, 0.9253)